A plane-wave DFT calculation with PBE-GGA was carried out for a relaxed Mn2HgBi2 crystal.

Properties
formation enthalpy at 0 K: 0.272 eV/atom

a b c (Å): 7.5394 7.5394 3.9431
angles (deg): 90.00 90.00 90.00
Site moments in Bohr magnetons follow the coordinates.
Fractional positions:
Mn1 0.6281 0.1281 0.0000  3.52
Bi1 0.3340 0.1660 0.5000  -0.22
Bi2 0.8340 0.3340 0.5000  -0.22
Mn2 0.8719 0.6281 0.0000  3.53
Hg1 0.0000 0.0000 0.0000  -0.03
Mn3 0.3719 0.8719 0.0000  3.52
Bi3 0.6660 0.8340 0.5000  -0.22
Mn4 0.1281 0.3719 0.0000  3.53
Hg2 0.5000 0.5000 0.0000  -0.03
Bi4 0.1660 0.6660 0.5000  -0.22

A plane-wave DFT calculation with PBE-GGA was carried out for a relaxed Nd6Er2TmSc crystal.

Properties
formation enthalpy at 0 K: 0.128 eV/atom

a b c (Å): 9.4156 8.9205 8.9205
angles (deg): 117.57 93.49 93.49
Fractional positions:
Sc1 0.7500 0.5796 0.4204
Tm1 0.7500 0.0270 0.9730
Nd1 0.9486 0.8803 0.2310
Nd2 0.3870 0.5131 0.2909
Er1 0.0483 0.3004 0.2043
Nd3 0.1130 0.7091 0.4869
Nd4 0.3048 0.0079 0.4407
Nd5 0.0514 0.1197 0.7690
Nd6 0.6130 0.4869 0.7091
Nd7 0.4486 0.2310 0.8803
Er2 0.4517 0.7957 0.6996
Sc2 0.2500 0.4204 0.5796
Tm2 0.2500 0.9730 0.0270
Nd8 0.5514 0.7690 0.1197
Er3 0.5483 0.2043 0.3004
Er4 0.9517 0.6996 0.7957
Nd9 0.1952 0.5593 0.9921
Nd10 0.8870 0.2909 0.5131
Nd11 0.8048 0.4407 0.0079
Nd12 0.6952 0.9921 0.5593

Q: Among the records above, which one has the lowest formation enthalpy at 0 K?
A: Nd6Er2TmSc